Below is YGaCoOs2 after structural relaxation, with properties calculated at the PBE level.

The calculation puts the density of states at the Fermi level at 9.02 states/eV per cell. As for the calculated volume: 103.4 Å³/cell. Its calculated total energy is -31.91 eV/cell. Its formation energy is 1.43 eV per atom. Its crystal system is tetragonal.

It has space group P4/mmm (No. 123), with a = 4.537 Å, b = 4.537 Å, c = 5.026 Å, α = 90.00°, β = 90.00° and γ = 90.00°. The asymmetric unit holds Y at (0.000, 0.000, 0.000), Ga at (0.000, 0.000, 0.500), Co at (0.500, 0.500, 0.000) and Os at (0.000, 0.500, 0.500).